No. 1
A plane-wave DFT calculation with PBEsol was carried out for an optimized crystal structure of YMg.

Geometry as extended XYZ:
```
4
Lattice="-1.835 2.691 5.389 1.835 -2.691 5.389 1.835 2.691 -5.389" Properties=species:S:1:pos:R:3 pbc="T T T"
Y 0.000 1.346 1.237
Y 1.835 1.346 4.152
Mg 1.835 1.346 -1.538
Mg 0.000 1.346 6.927
```

## Properties
E, eV/atom: -4.310
Total magnetic moment, μB per formula unit: 0.000
Formation energy, eV per atom: -0.04

***

No. 2
A plane-wave DFT calculation with PBEsol was carried out for an optimized crystal structure of YMgZn.

Geometry as extended XYZ:
```
3
Lattice="4.759 0.000 0.000 -2.379 4.121 0.000 0.000 0.000 3.377" Properties=species:S:1:pos:R:3 pbc="T T T"
Y 0.000 0.000 0.000
Mg 2.379 1.374 1.689
Zn 0.000 2.748 1.689
```

## Properties
E, eV/atom: -3.553
Total magnetic moment, μB per formula unit: 0.000
Distance to the lowest polymorph of the same formula, eV/atom: 0.107
Formation energy, eV per atom: -0.18